Compound: Li4CuPd
Source: the Alexandria database
Functional: PBE
Structure: optimized geometry

Unit cell a=4.860 b=4.860 c=4.860 alpha=60.00 beta=60.00 gamma=60.00
Fractional coordinates of all 6 atoms:
Li: 0.125 0.125 0.125
Li: 0.125 0.125 0.626
Li: 0.125 0.626 0.125
Li: 0.626 0.125 0.125
Cu: 0.500 0.500 0.500
Pd: 0.750 0.750 0.750

Properties
- crystal system = cubic
- SG = F-43m (216)
- final energy (eV/atom) = -2.831
- total magnetic moment (Bohr magnetons per cell) = 0.00
- energy of formation (kJ/mol of atoms) = -0.7
- offset from the most stable computed form (meV per atom) = 203